# PBE SrTiAsBr2, relaxed
# Distance to the lowest polymorph of the same formula ... 0.0000 eV/atom
# ΔE_f (raw) ... -988 meV per atom
# Total magnetization ... 0.950 Bohr magnetons per cell
# D(E_F) ... 1.88 states/eV/f.u.
# Final energy ... -0.3309 Ry per atom
data_SrTiAsBr2
_space_group_name_H-M_alt 'P 4/m m m'
_space_group_IT_number 123
_space_group_name_Hall '-P 4 2'
_cell_length_a 5.194
_cell_length_b 5.194
_cell_length_c 5.099
_cell_angle_alpha 90.00
_cell_angle_beta 90.00
_cell_angle_gamma 90.00
loop_
_atom_site_label
_atom_site_type_symbol
_atom_site_fract_x
_atom_site_fract_y
_atom_site_fract_z
Sr1 Sr 0.000 0.000 0.000
Ti1 Ti 0.500 0.500 0.500
As1 As 0.500 0.500 0.000
Br1 Br 0.000 0.500 0.500

=====

# PBE SrTiAsBr2, relaxed
# Distance to the lowest polymorph of the same formula ... 1.0025 eV/atom
# ΔE_f (raw) ... 14 meV per atom
# Total magnetization ... 0.992 Bohr magnetons per cell
# D(E_F) ... 4.19 states/eV/f.u.
# Final energy ... -0.2572 Ry per atom
data_SrTiAsBr2
_space_group_name_H-M_alt 'P 4/m m m'
_space_group_IT_number 123
_space_group_name_Hall '-P 4 2'
_cell_length_a 5.657
_cell_length_b 5.657
_cell_length_c 6.179
_cell_angle_alpha 90.00
_cell_angle_beta 90.00
_cell_angle_gamma 90.00
loop_
_atom_site_label
_atom_site_type_symbol
_atom_site_fract_x
_atom_site_fract_y
_atom_site_fract_z
Sr1 Sr 0.000 0.000 0.000
Ti1 Ti 0.500 0.500 0.500
As1 As 0.000 0.000 0.500
Br1 Br 0.000 0.500 0.000

=====

# PBE SrTlAs2Br, relaxed
# Distance to the lowest polymorph of the same formula ... 0.1957 eV/atom
# ΔE_f (raw) ... 76 meV per atom
# Total magnetization ... 2.367 Bohr magnetons per cell
# D(E_F) ... 4.10 states/eV/f.u.
# Final energy ... -0.2152 Ry per atom
data_SrTlAs2Br
_space_group_name_H-M_alt 'P 4/m m m'
_space_group_IT_number 123
_space_group_name_Hall '-P 4 2'
_cell_length_a 5.972
_cell_length_b 5.972
_cell_length_c 5.888
_cell_angle_alpha 90.00
_cell_angle_beta 90.00
_cell_angle_gamma 90.00
loop_
_atom_site_label
_atom_site_type_symbol
_atom_site_fract_x
_atom_site_fract_y
_atom_site_fract_z
Sr1 Sr 0.000 0.000 0.000
Tl1 Tl 0.500 0.500 0.500
As1 As 0.000 0.500 0.000
Br1 Br 0.000 0.000 0.500

=====

# PBE SrTl2AsBr6, relaxed
# ΔE_f (raw) ... -955 meV per atom
# Total magnetization ... 1.000 Bohr magnetons per cell
# Final energy ... -0.2252 Ry per atom
data_SrTl2AsBr6
_space_group_name_H-M_alt 'P 1'
_space_group_IT_number 1
_cell_length_a 7.978
_cell_length_b 7.986
_cell_length_c 8.463
_cell_angle_alpha 116.18
_cell_angle_beta 115.93
_cell_angle_gamma 91.99
loop_
_space_group_symop_operation_xyz
'x,y,z'
loop_
_atom_site_label
_atom_site_type_symbol
_atom_site_fract_x
_atom_site_fract_y
_atom_site_fract_z
Sr1 Sr 0.000 0.000 0.000
Tl1 Tl 0.247 0.630 0.367
Tl2 Tl 0.626 0.248 0.369
As1 As 0.547 0.547 0.033
Br1 Br 0.266 0.260 0.975
Br2 Br 0.271 0.275 0.453
Br3 Br 0.306 0.769 0.043
Br4 Br 0.710 0.711 0.569
Br5 Br 0.771 0.308 0.034
Br6 Br 0.830 0.833 0.191

=====

# PBE SrTlAs2Br, relaxed
# Distance to the lowest polymorph of the same formula ... 0.0000 eV/atom
# ΔE_f (raw) ... -120 meV per atom
# Total magnetization ... 0.000 Bohr magnetons per cell
# D(E_F) ... 4.11 states/eV/f.u.
# Final energy ... -0.2296 Ry per atom
data_SrTlAs2Br
_space_group_name_H-M_alt 'P 4/m m m'
_space_group_IT_number 123
_space_group_name_Hall '-P 4 2'
_cell_length_a 5.262
_cell_length_b 5.262
_cell_length_c 6.043
_cell_angle_alpha 90.00
_cell_angle_beta 90.00
_cell_angle_gamma 90.00
loop_
_atom_site_label
_atom_site_type_symbol
_atom_site_fract_x
_atom_site_fract_y
_atom_site_fract_z
Sr1 Sr 0.000 0.000 0.000
Tl1 Tl 0.500 0.500 0.500
As1 As 0.000 0.500 0.500
Br1 Br 0.500 0.500 0.000

=====

# PBE SrVAs2Br, relaxed
# Distance to the lowest polymorph of the same formula ... 1.4629 eV/atom
# ΔE_f (raw) ... 837 meV per atom
# Total magnetization ... 2.137 Bohr magnetons per cell
# D(E_F) ... 8.95 states/eV/f.u.
# Final energy ... -0.2586 Ry per atom
data_SrVAs2Br
_space_group_name_H-M_alt 'P 4/m m m'
_space_group_IT_number 123
_space_group_name_Hall '-P 4 2'
_cell_length_a 5.704
_cell_length_b 5.704
_cell_length_c 5.644
_cell_angle_alpha 90.00
_cell_angle_beta 90.00
_cell_angle_gamma 90.00
loop_
_atom_site_label
_atom_site_type_symbol
_atom_site_fract_x
_atom_site_fract_y
_atom_site_fract_z
Sr1 Sr 0.000 0.000 0.000
V1 V 0.500 0.500 0.500
As1 As 0.000 0.500 0.000
Br1 Br 0.000 0.000 0.500

=====

# PBE SrVAs2Br, relaxed
# Distance to the lowest polymorph of the same formula ... 0.0000 eV/atom
# ΔE_f (raw) ... -626 meV per atom
# Total magnetization ... 1.255 Bohr magnetons per cell
# D(E_F) ... 2.99 states/eV/f.u.
# Final energy ... -0.3661 Ry per atom
data_SrVAs2Br
_space_group_name_H-M_alt 'P 4/m m m'
_space_group_IT_number 123
_space_group_name_Hall '-P 4 2'
_cell_length_a 4.773
_cell_length_b 4.773
_cell_length_c 5.547
_cell_angle_alpha 90.00
_cell_angle_beta 90.00
_cell_angle_gamma 90.00
loop_
_atom_site_label
_atom_site_type_symbol
_atom_site_fract_x
_atom_site_fract_y
_atom_site_fract_z
Sr1 Sr 0.000 0.000 0.000
V1 V 0.500 0.500 0.500
As1 As 0.000 0.500 0.500
Br1 Br 0.500 0.500 0.000

=====

# PBE Sr2AsWBr, relaxed
# ΔE_f (raw) ... -93 meV per atom
# Total magnetization ... 2.481 Bohr magnetons per cell
# D(E_F) ... 3.27 states/eV/f.u.
# Final energy ... -0.3396 Ry per atom
data_Sr2AsWBr
_space_group_name_H-M_alt 'P 4/m m m'
_space_group_IT_number 123
_space_group_name_Hall '-P 4 2'
_cell_length_a 6.096
_cell_length_b 6.096
_cell_length_c 4.722
_cell_angle_alpha 90.00
_cell_angle_beta 90.00
_cell_angle_gamma 90.00
loop_
_atom_site_label
_atom_site_type_symbol
_atom_site_fract_x
_atom_site_fract_y
_atom_site_fract_z
Sr1 Sr 0.000 0.500 0.000
As1 As 0.000 0.000 0.000
W1 W 0.000 0.000 0.500
Br1 Br 0.500 0.500 0.500

=====

# PBE SrYAsBr2, relaxed
# Distance to the lowest polymorph of the same formula ... 0.0000 eV/atom
# ΔE_f (raw) ... -1278 meV per atom
# Total magnetization ... 0.000 Bohr magnetons per cell
# D(E_F) ... 0.13 states/eV/f.u.
# Final energy ... -0.3312 Ry per atom
data_SrYAsBr2
_space_group_name_H-M_alt 'P 4/m m m'
_space_group_IT_number 123
_space_group_name_Hall '-P 4 2'
_cell_length_a 5.475
_cell_length_b 5.475
_cell_length_c 5.674
_cell_angle_alpha 90.00
_cell_angle_beta 90.00
_cell_angle_gamma 90.00
loop_
_atom_site_label
_atom_site_type_symbol
_atom_site_fract_x
_atom_site_fract_y
_atom_site_fract_z
Sr1 Sr 0.000 0.000 0.000
Y1 Y 0.500 0.500 0.500
As1 As 0.500 0.500 0.000
Br1 Br 0.000 0.500 0.500

=====

# PBE SrYAs2Br, relaxed
# Distance to the lowest polymorph of the same formula ... 0.8033 eV/atom
# ΔE_f (raw) ... -54 meV per atom
# Total magnetization ... 0.000 Bohr magnetons per cell
# D(E_F) ... 1.69 states/eV/f.u.
# Final energy ... -0.2850 Ry per atom
data_SrYAs2Br
_space_group_name_H-M_alt 'P 4/m m m'
_space_group_IT_number 123
_space_group_name_Hall '-P 4 2'
_cell_length_a 5.542
_cell_length_b 5.542
_cell_length_c 5.480
_cell_angle_alpha 90.00
_cell_angle_beta 90.00
_cell_angle_gamma 90.00
loop_
_atom_site_label
_atom_site_type_symbol
_atom_site_fract_x
_atom_site_fract_y
_atom_site_fract_z
Sr1 Sr 0.000 0.000 0.000
Y1 Y 0.500 0.500 0.500
As1 As 0.000 0.500 0.000
Br1 Br 0.000 0.000 0.500

=====

# PBE SrYAsBr2, relaxed
# Distance to the lowest polymorph of the same formula ... 0.6954 eV/atom
# ΔE_f (raw) ... -582 meV per atom
# Total magnetization ... 0.057 Bohr magnetons per cell
# D(E_F) ... 1.64 states/eV/f.u.
# Final energy ... -0.2801 Ry per atom
data_SrYAsBr2
_space_group_name_H-M_alt 'P 4/m m m'
_space_group_IT_number 123
_space_group_name_Hall '-P 4 2'
_cell_length_a 5.471
_cell_length_b 5.471
_cell_length_c 6.212
_cell_angle_alpha 90.00
_cell_angle_beta 90.00
_cell_angle_gamma 90.00
loop_
_atom_site_label
_atom_site_type_symbol
_atom_site_fract_x
_atom_site_fract_y
_atom_site_fract_z
Sr1 Sr 0.000 0.000 0.000
Y1 Y 0.500 0.500 0.500
As1 As 0.000 0.000 0.500
Br1 Br 0.000 0.500 0.000

=====

# PBE SrYAs2Br, relaxed
# Distance to the lowest polymorph of the same formula ... 0.0000 eV/atom
# ΔE_f (raw) ... -857 meV per atom
# Total magnetization ... 0.000 Bohr magnetons per cell
# D(E_F) ... 1.95 states/eV/f.u.
# Final energy ... -0.3440 Ry per atom
data_SrYAs2Br
_space_group_name_H-M_alt 'P 4/m m m'
_space_group_IT_number 123
_space_group_name_Hall '-P 4 2'
_cell_length_a 5.411
_cell_length_b 5.411
_cell_length_c 5.618
_cell_angle_alpha 90.00
_cell_angle_beta 90.00
_cell_angle_gamma 90.00
loop_
_atom_site_label
_atom_site_type_symbol
_atom_site_fract_x
_atom_site_fract_y
_atom_site_fract_z
Sr1 Sr 0.000 0.000 0.000
Y1 Y 0.500 0.500 0.500
As1 As 0.000 0.500 0.500
Br1 Br 0.500 0.500 0.000

=====

# PBE SrZrAsBr2, relaxed
# Distance to the lowest polymorph of the same formula ... 0.0000 eV/atom
# ΔE_f (raw) ... -985 meV per atom
# Total magnetization ... 0.000 Bohr magnetons per cell
# D(E_F) ... 2.23 states/eV/f.u.
# Final energy ... -0.3403 Ry per atom
data_SrZrAsBr2
_space_group_name_H-M_alt 'P 4/m m m'
_space_group_IT_number 123
_space_group_name_Hall '-P 4 2'
_cell_length_a 5.308
_cell_length_b 5.308
_cell_length_c 5.361
_cell_angle_alpha 90.00
_cell_angle_beta 90.00
_cell_angle_gamma 90.00
loop_
_atom_site_label
_atom_site_type_symbol
_atom_site_fract_x
_atom_site_fract_y
_atom_site_fract_z
Sr1 Sr 0.000 0.000 0.000
Zr1 Zr 0.500 0.500 0.500
As1 As 0.500 0.500 0.000
Br1 Br 0.000 0.500 0.500

=====

# PBE SrZrAsBr2, relaxed
# Distance to the lowest polymorph of the same formula ... 1.0204 eV/atom
# ΔE_f (raw) ... 35 meV per atom
# Total magnetization ... 1.009 Bohr magnetons per cell
# D(E_F) ... 4.06 states/eV/f.u.
# Final energy ... -0.2653 Ry per atom
data_SrZrAsBr2
_space_group_name_H-M_alt 'P 4/m m m'
_space_group_IT_number 123
_space_group_name_Hall '-P 4 2'
_cell_length_a 5.528
_cell_length_b 5.528
_cell_length_c 6.163
_cell_angle_alpha 90.00
_cell_angle_beta 90.00
_cell_angle_gamma 90.00
loop_
_atom_site_label
_atom_site_type_symbol
_atom_site_fract_x
_atom_site_fract_y
_atom_site_fract_z
Sr1 Sr 0.000 0.000 0.000
Zr1 Zr 0.500 0.500 0.500
As1 As 0.000 0.000 0.500
Br1 Br 0.000 0.500 0.000